w | DFT (PBE-GGA) results for a geometry-optimized KGa3Ru structure.

- V (Å³ per atom) = 27.998
- SG = Pm-3m

abc: 5.192 5.192 5.192
angles: 90.00 90.00 90.00
Element x y z (fractional)
K  0.000  0.000  0.000
Ga  0.000  0.000  0.500
Ga  0.000  0.500  0.000
Ga  0.500  0.000  0.000
Ru  0.500  0.500  0.500

x | DFT (PBE-GGA) results for a geometry-optimized KGa3Ru structure.

- V (Å³ per atom) = 23.715
- SG = Pm-3m

abc: 4.913 4.913 4.913
angles: 90.00 90.00 90.00
Element x y z (fractional)
K  0.000  0.000  0.000
Ga  0.000  0.500  0.500
Ga  0.500  0.000  0.500
Ga  0.500  0.500  0.000
Ru  0.500  0.500  0.500

Last place for stability: w

w | DFT (PBE-GGA) results for a geometry-optimized K3GaS3 structure.

- V (Å³ per atom) = 29.599
- SG = C2/m

abc: 7.808 7.808 7.585
angles: 96.38 96.38 113.75
Element x y z (fractional)
K  0.180  0.820  0.000
K  0.245  0.755  0.500
K  0.390  0.390  0.147
K  0.610  0.610  0.853
K  0.755  0.245  0.500
K  0.820  0.180  0.000
Ga  0.171  0.171  0.648
Ga  0.829  0.829  0.352
S  0.103  0.103  0.329
S  0.153  0.439  0.772
S  0.439  0.153  0.772
S  0.561  0.847  0.228
S  0.847  0.561  0.228
S  0.897  0.897  0.671

x | DFT (PBE-GGA) results for a geometry-optimized K3GaS3 structure.

- V (Å³ per atom) = 28.937
- SG = P2_1/c

abc: 7.854 12.895 10.101
angles: 90.00 127.63 90.00
Element x y z (fractional)
K  0.127  0.119  0.471
K  0.127  0.381  0.971
K  0.178  0.104  0.897
K  0.178  0.396  0.397
K  0.341  0.689  0.568
K  0.341  0.811  0.068
K  0.659  0.189  0.932
K  0.659  0.311  0.432
K  0.822  0.604  0.603
K  0.822  0.896  0.103
K  0.873  0.619  0.029
K  0.873  0.881  0.529
Ga  0.442  0.064  0.339
Ga  0.442  0.436  0.839
Ga  0.558  0.564  0.161
Ga  0.558  0.936  0.661
S  0.180  0.188  0.200
S  0.180  0.312  0.700
S  0.328  0.597  0.868
S  0.328  0.903  0.368
S  0.369  0.547  0.263
S  0.369  0.953  0.763
S  0.631  0.047  0.237
S  0.631  0.453  0.737
S  0.672  0.097  0.632
S  0.672  0.403  0.132
S  0.820  0.688  0.300
S  0.820  0.812  0.800

Last place for stability: x

w | DFT (PBE-GGA) results for a geometry-optimized KGaS structure.

- V (Å³ per atom) = 27.397
- SG = P3m1

abc: 3.923 3.923 6.167
angles: 90.00 90.00 120.00
Element x y z (fractional)
K  0.000  0.000  0.000
Ga  0.333  0.667  0.554
S  0.667  0.333  0.347

x | DFT (PBE-GGA) results for a geometry-optimized KGaS structure.

- V (Å³ per atom) = 32.941
- SG = Fddd

abc: 9.231 8.844 7.339
angles: 68.83 63.31 47.85
Element x y z (fractional)
K  0.019  0.019  0.731
K  0.269  0.269  0.981
K  0.731  0.731  0.019
K  0.981  0.981  0.269
Ga  0.000  0.500  0.500
Ga  0.500  0.000  0.500
Ga  0.500  0.500  0.000
Ga  0.500  0.500  0.500
S  0.123  0.627  0.627
S  0.373  0.877  0.877
S  0.627  0.123  0.123
S  0.877  0.373  0.373

Last place for stability: x

w | DFT (PBE-GGA) results for a geometry-optimized K2GaSb2 structure.

- V (Å³ per atom) = 37.334
- SG = Pnma

abc: 15.231 10.547 9.297
angles: 90.00 90.00 90.00
Element x y z (fractional)
K  0.012  0.024  0.233
K  0.012  0.476  0.233
K  0.237  0.529  0.582
K  0.237  0.971  0.582
K  0.263  0.029  0.082
K  0.263  0.471  0.082
K  0.488  0.524  0.733
K  0.488  0.976  0.733
K  0.512  0.024  0.267
K  0.512  0.476  0.267
K  0.737  0.529  0.918
K  0.737  0.971  0.918
K  0.763  0.029  0.418
K  0.763  0.471  0.418
K  0.988  0.524  0.767
K  0.988  0.976  0.767
Ga  0.096  0.250  0.578
Ga  0.177  0.750  0.272
Ga  0.323  0.250  0.772
Ga  0.404  0.750  0.078
Ga  0.596  0.250  0.922
Ga  0.677  0.750  0.228
Ga  0.823  0.250  0.728
Ga  0.904  0.750  0.422
Sb  0.070  0.750  0.497
Sb  0.126  0.750  0.002
Sb  0.153  0.250  0.842
Sb  0.205  0.250  0.361
Sb  0.295  0.750  0.861
Sb  0.347  0.750  0.342
Sb  0.374  0.250  0.502
Sb  0.430  0.250  0.997
Sb  0.570  0.750  0.003
Sb  0.626  0.750  0.498
Sb  0.653  0.250  0.658
Sb  0.705  0.250  0.139
Sb  0.795  0.750  0.639
Sb  0.847  0.750  0.158
Sb  0.874  0.250  0.998
Sb  0.930  0.250  0.503

x | DFT (PBE-GGA) results for a geometry-optimized K2GaSb2 structure.

- V (Å³ per atom) = 38.004
- SG = Ibam

abc: 8.860 8.860 8.860
angles: 130.48 70.79 132.84
Element x y z (fractional)
K  0.143  0.183  0.326
K  0.357  0.683  0.040
K  0.643  0.317  0.960
K  0.857  0.817  0.674
Ga  0.250  0.750  0.500
Ga  0.750  0.250  0.500
Sb  0.104  0.691  0.795
Sb  0.396  0.191  0.587
Sb  0.604  0.809  0.413
Sb  0.896  0.309  0.205

Last place for stability: x

w | DFT (PBE-GGA) results for a geometry-optimized K2GaSb2 structure.

- V (Å³ per atom) = 34.558
- SG = C2/m

abc: 7.462 7.462 11.796
angles: 118.70 118.70 37.63
Element x y z (fractional)
K  0.009  0.009  0.165
K  0.175  0.175  0.595
K  0.825  0.825  0.405
K  0.991  0.991  0.835
Ga  0.300  0.300  0.141
Ga  0.700  0.700  0.859
Sb  0.326  0.326  0.921
Sb  0.494  0.494  0.620
Sb  0.506  0.506  0.380
Sb  0.674  0.674  0.079

x | DFT (PBE-GGA) results for a geometry-optimized K2GaSb2 structure.

- V (Å³ per atom) = 34.295
- SG = P4/mbm

abc: 7.780 7.780 5.666
angles: 90.00 90.00 90.00
Element x y z (fractional)
K  0.170  0.330  0.000
K  0.330  0.830  0.000
K  0.670  0.170  0.000
K  0.830  0.670  0.000
Ga  0.000  0.000  0.500
Ga  0.500  0.500  0.500
Sb  0.133  0.633  0.500
Sb  0.367  0.133  0.500
Sb  0.633  0.867  0.500
Sb  0.867  0.367  0.500

Last place for stability: x

w | DFT (PBE-GGA) results for a geometry-optimized K2Ga2Sb3 structure.

- V (Å³ per atom) = 33.729
- SG = C2/m

abc: 9.869 9.869 13.058
angles: 124.24 124.24 27.08
Element x y z (fractional)
K  0.119  0.119  0.468
K  0.238  0.238  0.848
K  0.762  0.762  0.152
K  0.881  0.881  0.532
Ga  0.085  0.085  0.142
Ga  0.480  0.480  0.208
Ga  0.520  0.520  0.792
Ga  0.915  0.915  0.858
Sb  0.091  0.091  0.937
Sb  0.353  0.353  0.717
Sb  0.433  0.433  0.372
Sb  0.567  0.567  0.628
Sb  0.647  0.647  0.283
Sb  0.909  0.909  0.063

x | DFT (PBE-GGA) results for a geometry-optimized K2Ga2Sb3 structure.

- V (Å³ per atom) = 33.082
- SG = P2_1/c

abc: 15.000 7.325 16.861
angles: 90.00 90.50 90.00
Element x y z (fractional)
K  0.056  0.046  0.108
K  0.056  0.454  0.608
K  0.152  0.540  0.020
K  0.152  0.960  0.520
K  0.357  0.024  0.008
K  0.357  0.476  0.508
K  0.425  0.525  0.113
K  0.425  0.975  0.613
K  0.575  0.025  0.387
K  0.575  0.475  0.887
K  0.643  0.524  0.492
K  0.643  0.976  0.992
K  0.848  0.040  0.480
K  0.848  0.460  0.980
K  0.944  0.546  0.392
K  0.944  0.954  0.892
Ga  0.092  0.735  0.260
Ga  0.092  0.765  0.760
Ga  0.186  0.216  0.330
Ga  0.186  0.284  0.830
Ga  0.318  0.730  0.324
Ga  0.318  0.770  0.824
Ga  0.409  0.208  0.270
Ga  0.409  0.292  0.770
Ga  0.591  0.708  0.230
Ga  0.591  0.792  0.730
Ga  0.682  0.230  0.176
Ga  0.682  0.270  0.676
Ga  0.814  0.716  0.170
Ga  0.814  0.784  0.670
Ga  0.908  0.235  0.240
Ga  0.908  0.265  0.740
Sb  0.025  0.037  0.335
Sb  0.025  0.463  0.835
Sb  0.170  0.558  0.387
Sb  0.170  0.942  0.887
Sb  0.248  0.682  0.678
Sb  0.248  0.818  0.178
Sb  0.254  0.213  0.182
Sb  0.254  0.287  0.682
Sb  0.336  0.049  0.401
Sb  0.336  0.451  0.901
Sb  0.473  0.533  0.327
Sb  0.473  0.967  0.827
Sb  0.527  0.033  0.173
Sb  0.527  0.467  0.673
Sb  0.664  0.549  0.099
Sb  0.664  0.951  0.599
Sb  0.746  0.713  0.318
Sb  0.746  0.787  0.818
Sb  0.752  0.182  0.822
Sb  0.752  0.318  0.322
Sb  0.830  0.058  0.113
Sb  0.830  0.442  0.613
Sb  0.975  0.537  0.165
Sb  0.975  0.963  0.665

Last place for stability: w

w | DFT (PBE-GGA) results for a geometry-optimized KGaSb2Te structure.

- V (Å³ per atom) = 33.886
- SG = P4/mmm

abc: 5.397 5.397 5.817
angles: 90.00 90.00 90.00
Element x y z (fractional)
K  0.000  0.000  0.000
Ga  0.500  0.500  0.500
Sb  0.000  0.500  0.500
Sb  0.500  0.000  0.500
Te  0.500  0.500  0.000

x | DFT (PBE-GGA) results for a geometry-optimized KGaSb2Te structure.

- V (Å³ per atom) = 42.182
- SG = P4/mmm

abc: 5.918 5.918 6.021
angles: 90.00 90.00 90.00
Element x y z (fractional)
K  0.000  0.000  0.000
Ga  0.500  0.500  0.500
Sb  0.000  0.500  0.000
Sb  0.500  0.000  0.000
Te  0.000  0.000  0.500

Last place for stability: x

w | DFT (PBE-GGA) results for a geometry-optimized KSc2Ga2 structure.

- V (Å³ per atom) = 23.490
- SG = P4/mbm

abc: 8.488 8.488 3.260
angles: 90.00 90.00 90.00
Element x y z (fractional)
K  0.000  0.000  0.000
K  0.500  0.500  0.000
Sc  0.168  0.332  0.500
Sc  0.332  0.832  0.500
Sc  0.668  0.168  0.500
Sc  0.832  0.668  0.500
Ga  0.119  0.619  0.000
Ga  0.381  0.119  0.000
Ga  0.619  0.881  0.000
Ga  0.881  0.381  0.000

x | DFT (PBE-GGA) results for a geometry-optimized KSc2Ga2 structure.

- V (Å³ per atom) = 23.086
- SG = P4/mbm

abc: 8.701 8.701 3.050
angles: 90.00 90.00 90.00
Element x y z (fractional)
K  0.000  0.000  0.000
K  0.500  0.500  0.000
Sc  0.125  0.375  0.000
Sc  0.375  0.875  0.000
Sc  0.625  0.125  0.000
Sc  0.875  0.625  0.000
Ga  0.171  0.671  0.500
Ga  0.329  0.171  0.500
Ga  0.671  0.829  0.500
Ga  0.829  0.329  0.500

Last place for stability: w

w | DFT (PBE-GGA) results for a geometry-optimized K3ScGa structure.

- V (Å³ per atom) = 54.122
- SG = Pm-3m

abc: 6.468 6.468 6.468
angles: 90.00 90.00 90.00
Element x y z (fractional)
K  0.000  0.000  0.500
K  0.000  0.500  0.000
K  0.500  0.000  0.000
Sc  0.500  0.500  0.500
Ga  0.000  0.000  0.000

x | DFT (PBE-GGA) results for a geometry-optimized K3ScGa structure.

- V (Å³ per atom) = 64.898
- SG = Pm-3m

abc: 6.872 6.872 6.872
angles: 90.00 90.00 90.00
Element x y z (fractional)
K  0.000  0.000  0.500
K  0.000  0.500  0.000
K  0.500  0.000  0.000
Sc  0.000  0.000  0.000
Ga  0.500  0.500  0.500

Last place for stability: x

w | DFT (PBE-GGA) results for a geometry-optimized KSc3Ga structure.

- V (Å³ per atom) = 30.723
- SG = Pm-3m

abc: 5.356 5.356 5.356
angles: 90.00 90.00 90.00
Element x y z (fractional)
K  0.000  0.000  0.000
Sc  0.000  0.500  0.500
Sc  0.500  0.000  0.500
Sc  0.500  0.500  0.000
Ga  0.500  0.500  0.500

x | DFT (PBE-GGA) results for a geometry-optimized KSc3Ga structure.

- V (Å³ per atom) = 23.926
- SG = Pm-3m

abc: 4.927 4.927 4.927
angles: 90.00 90.00 90.00
Element x y z (fractional)
K  0.000  0.000  0.000
Sc  0.000  0.000  0.500
Sc  0.000  0.500  0.000
Sc  0.500  0.000  0.000
Ga  0.500  0.500  0.500

Last place for stability: x